1.
Computed, not measured: a geometry-optimized RbBa2V2O6 structure at the GGA+U level of DFT.

Cell lengths 7.975, 7.975, 7.975 Å; angles 45.47, 45.47, 45.47 degrees
Sites, in units of the cell vectors:
Rb (0.000, 0.000, 0.000)
Ba (0.199, 0.199, 0.199)
Ba (0.801, 0.801, 0.801)
V (0.434, 0.434, 0.434)
V (0.566, 0.566, 0.566)
O (0.235, 0.727, 0.727)
O (0.273, 0.273, 0.765)
O (0.273, 0.765, 0.273)
O (0.727, 0.235, 0.727)
O (0.727, 0.727, 0.235)
O (0.765, 0.273, 0.273)

=====

2.
Computed, not measured: a geometry-optimized Rb2BaV2O7 structure at the GGA+U level of DFT.

Cell lengths 8.806, 8.806, 8.806 Å; angles 41.96, 41.96, 41.96 degrees
Sites, in units of the cell vectors:
Rb (0.226, 0.226, 0.226)
Rb (0.774, 0.774, 0.774)
Ba (0.000, 0.000, 0.000)
V (0.424, 0.424, 0.424)
V (0.576, 0.576, 0.576)
O (0.185, 0.332, 0.690)
O (0.310, 0.668, 0.815)
O (0.332, 0.690, 0.185)
O (0.500, 0.500, 0.500)
O (0.668, 0.815, 0.310)
O (0.690, 0.185, 0.332)
O (0.815, 0.310, 0.668)

Output
The value obtained for the density of states at the Fermi level is 0.0000 states/eV/atom.

=====

3.
Computed, not measured: a geometry-optimized RbBaV2O6 structure at the GGA+U level of DFT.

Cell lengths 8.096, 8.096, 5.888 Å; angles 96.54, 96.54, 91.44 degrees
Sites, in units of the cell vectors:
Rb (0.162, 0.838, 0.750)
Rb (0.838, 0.162, 0.250)
Ba (0.384, 0.616, 0.250)
Ba (0.616, 0.384, 0.750)
V (0.137, 0.304, 0.770)
V (0.304, 0.137, 0.270)
V (0.696, 0.863, 0.730)
V (0.863, 0.696, 0.230)
O (0.067, 0.645, 0.288)
O (0.160, 0.186, 0.021)
O (0.186, 0.160, 0.521)
O (0.283, 0.468, 0.819)
O (0.355, 0.933, 0.212)
O (0.468, 0.283, 0.319)
O (0.532, 0.717, 0.681)
O (0.645, 0.067, 0.788)
O (0.717, 0.532, 0.181)
O (0.814, 0.840, 0.479)
O (0.840, 0.814, 0.979)
O (0.933, 0.355, 0.712)

Output
The value obtained for the density of states at the Fermi level is 0.1458 states/eV/atom.

=====

4.
Computed, not measured: a geometry-optimized RbBaVO4 structure at the GGA+U level of DFT.

Cell lengths 6.479, 6.054, 7.901 Å; angles 90.00, 103.35, 90.00 degrees
Sites, in units of the cell vectors:
Rb (0.214, 0.250, 0.434)
Rb (0.786, 0.750, 0.566)
Ba (0.271, 0.250, 0.942)
Ba (0.729, 0.750, 0.058)
V (0.263, 0.750, 0.187)
V (0.737, 0.250, 0.813)
O (0.085, 0.750, 0.322)
O (0.114, 0.750, 0.973)
O (0.430, 0.520, 0.213)
O (0.430, 0.980, 0.213)
O (0.570, 0.020, 0.787)
O (0.570, 0.480, 0.787)
O (0.886, 0.250, 0.027)
O (0.915, 0.250, 0.678)

Output
The value obtained for the density of states at the Fermi level is 0.0000 states/eV/atom.

=====

5.
Computed, not measured: a geometry-optimized Rb2BaVO4 structure at the GGA+U level of DFT.

Cell lengths 7.658, 7.627, 6.245 Å; angles 90.00, 90.00, 90.00 degrees
Sites, in units of the cell vectors:
Rb (0.233, 0.150, 0.000)
Rb (0.267, 0.850, 0.500)
Rb (0.733, 0.850, 0.500)
Rb (0.767, 0.150, 0.000)
Ba (0.000, 0.397, 0.507)
Ba (0.500, 0.603, 0.007)
V (0.000, 0.675, 0.020)
V (0.500, 0.325, 0.520)
O (0.000, 0.446, 0.924)
O (0.000, 0.687, 0.314)
O (0.207, 0.778, 0.939)
O (0.293, 0.222, 0.439)
O (0.500, 0.313, 0.814)
O (0.500, 0.554, 0.424)
O (0.707, 0.222, 0.439)
O (0.793, 0.778, 0.939)

=====

6.
Computed, not measured: a geometry-optimized Rb2BaV2O6 structure at the GGA+U level of DFT.

Cell lengths 7.736, 7.736, 7.736 Å; angles 48.86, 48.86, 48.86 degrees
Sites, in units of the cell vectors:
Rb (0.204, 0.204, 0.204)
Rb (0.796, 0.796, 0.796)
Ba (0.000, 0.000, 0.000)
V (0.435, 0.435, 0.435)
V (0.565, 0.565, 0.565)
O (0.268, 0.268, 0.728)
O (0.268, 0.728, 0.268)
O (0.272, 0.732, 0.732)
O (0.728, 0.268, 0.268)
O (0.732, 0.272, 0.732)
O (0.732, 0.732, 0.272)

Output
The value obtained for the density of states at the Fermi level is 0.0000 states/eV/atom.

=====

7.
Computed, not measured: a geometry-optimized RbBa2WO6 structure at the GGA+U level of DFT.

Cell lengths 6.208, 6.663, 10.759 Å; angles 90.00, 123.75, 90.00 degrees
Sites, in units of the cell vectors:
Rb (0.000, 0.000, 0.000)
Rb (0.000, 0.500, 0.500)
Ba (0.223, 0.051, 0.737)
Ba (0.223, 0.449, 0.237)
Ba (0.777, 0.551, 0.763)
Ba (0.777, 0.949, 0.263)
W (0.500, 0.000, 0.500)
W (0.500, 0.500, 0.000)
O (0.203, 0.151, 0.466)
O (0.203, 0.349, 0.966)
O (0.278, 0.740, 0.918)
O (0.278, 0.760, 0.418)
O (0.409, 0.073, 0.300)
O (0.409, 0.427, 0.800)
O (0.591, 0.573, 0.200)
O (0.591, 0.927, 0.700)
O (0.722, 0.240, 0.582)
O (0.722, 0.260, 0.082)
O (0.797, 0.651, 0.034)
O (0.797, 0.849, 0.534)

Output
The value obtained for the density of states at the Fermi level is 0.6540 states/eV/atom.

=====

8.
Computed, not measured: a geometry-optimized RbBaW2O8 structure at the GGA+U level of DFT.

Cell lengths 6.938, 6.938, 6.938 Å; angles 106.80, 106.80, 114.97 degrees
Sites, in units of the cell vectors:
Rb (0.000, 0.000, 0.000)
Ba (0.250, 0.750, 0.500)
W (0.500, 0.500, 0.000)
W (0.750, 0.250, 0.500)
O (0.358, 0.179, 0.821)
O (0.358, 0.538, 0.179)
O (0.426, 0.099, 0.328)
O (0.462, 0.642, 0.821)
O (0.771, 0.099, 0.672)
O (0.821, 0.642, 0.179)
O (0.901, 0.229, 0.328)
O (0.901, 0.574, 0.672)

Output
The value obtained for the density of states at the Fermi level is 1.1371 states/eV/atom.

=====

9.
Computed, not measured: a geometry-optimized Rb2BaWO4 structure at the GGA+U level of DFT.

Cell lengths 6.088, 6.088, 6.088 Å; angles 114.49, 114.49, 99.84 degrees
Sites, in units of the cell vectors:
Rb (0.000, 0.000, 0.000)
Rb (0.750, 0.250, 0.500)
Ba (0.250, 0.750, 0.500)
W (0.500, 0.500, 0.000)
O (0.289, 0.230, 0.596)
O (0.307, 0.711, 0.941)
O (0.634, 0.693, 0.404)
O (0.770, 0.366, 0.059)

Output
The value obtained for the density of states at the Fermi level is 0.0000 states/eV/atom.

=====

10.
Computed, not measured: a geometry-optimized RbBaWO4 structure at the GGA+U level of DFT.

Cell lengths 7.062, 6.388, 8.032 Å; angles 90.00, 94.05, 90.00 degrees
Sites, in units of the cell vectors:
Rb (0.154, 0.250, 0.377)
Rb (0.846, 0.750, 0.623)
Ba (0.325, 0.250, 0.917)
Ba (0.675, 0.750, 0.083)
W (0.178, 0.750, 0.139)
W (0.822, 0.250, 0.861)
O (0.011, 0.750, 0.309)
O (0.066, 0.750, 0.925)
O (0.366, 0.530, 0.160)
O (0.366, 0.970, 0.160)
O (0.634, 0.030, 0.840)
O (0.634, 0.470, 0.840)
O (0.934, 0.250, 0.075)
O (0.989, 0.250, 0.691)

=====

| no. | ρ (g/cm3) | total DFT energy (no corrections) (eV/atom) |
| --- | --- | --- |
| 1 | 3.9 | -6.5598 |
| 2 | 3.1 | -6.6284 |
| 3 | 3.7 | -6.9264 |
| 4 | 3.7 | -6.6249 |
| 5 | 3.9 | -5.8853 |
| 6 | 3.5 | -6.4496 |
| 7 | 5.7 | -6.3972 |
| 8 | 4.7 | -6.7599 |
| 9 | 5.4 | -5.8194 |
| 10 | 4.3 | -6.3860 |